The following is a GGA+U calculation of a geometry-optimized K4Tl3CoO8 structure, from the Alexandria database.

Properties
Magnetization, μB/cell: 12.1
Total energy, eV for the cell shown: -217.20

Lattice parameters (Å, degrees): 6.8399 6.8399 18.3881 90.00 90.00 120.00
Space group R-3m (No. 166, hexagonal axes)
Inequivalent atoms, fractional coordinates:
K 0.0000 0.0000 0.0000 x3
K 0.0000 0.5000 0.0000 x9
Tl 0.0000 0.5000 0.5000 x9
Co 0.0000 0.0000 0.5000 x3
O 0.0000 0.0000 0.2330 x6
O 0.0264 0.5132 0.2285 x18